1.
Compound: Ho12Cd6Cu
Source: the Alexandria database
Functional: PBE-GGA
Structure: optimized geometry

## Properties
**Total energy**: -3.479 eV per atom

Structure (CIF):
```
data_Ho12Cd6Cu
_chemical_formula_sum 'Ho36 Cd18 Cu3'
_cell_length_a 11.1707
_cell_length_b 11.1707
_cell_length_c 14.1946
_cell_angle_alpha 90.00
_cell_angle_beta 90.00
_cell_angle_gamma 120.00
_symmetry_space_group_name_H-M 'R -3'
_symmetry_Int_Tables_number 148
_symmetry_space_group_name_Hall '-R 3'
loop_
_atom_site_label
_atom_site_fract_x
_atom_site_fract_y
_atom_site_fract_z
_atom_site_occupancy
Ho1 0.0280 0.8429 0.3264 1
Ho2 0.0612 0.2095 0.9064 1
Cd1 0.0335 0.5960 0.2045 1
Cu1 0.0000 0.0000 0.5000 1
```

2.
Compound: Nd2MgPa
Source: the Alexandria database
Functional: PBE-GGA
Structure: optimized geometry

## Properties
**Energy relative to the lowest polymorph listed for this composition**: 100 meV per atom

Structure (CIF):
```
data_Nd2MgPa
_chemical_formula_sum 'Nd2 Mg1 Pa1'
_cell_length_a 5.782
_cell_length_b 5.782
_cell_length_c 3.465
_cell_angle_alpha 90.00
_cell_angle_beta 90.00
_cell_angle_gamma 90.00
_symmetry_space_group_name_H-M 'P 4/m m m'
_symmetry_Int_Tables_number 123
_symmetry_space_group_name_Hall '-P 4 2'
loop_
_atom_site_label
_atom_site_fract_x
_atom_site_fract_y
_atom_site_fract_z
_atom_site_occupancy
Nd1 0.000 0.500 0.000 1
Mg1 0.000 0.000 0.500 1
Pa1 0.500 0.500 0.500 1
```

3.
Compound: NaTl2Co2
Source: the Alexandria database
Functional: PBE-GGA
Structure: optimized geometry

## Properties
**Energy relative to the lowest polymorph listed for this composition**: 203 meV per atom

Structure (CIF):
```
data_NaTl2Co2
_chemical_formula_sum 'Na2 Tl4 Co4'
_cell_length_a 8.018
_cell_length_b 8.018
_cell_length_c 3.013
_cell_angle_alpha 90.00
_cell_angle_beta 90.00
_cell_angle_gamma 90.00
_symmetry_space_group_name_H-M 'P 4/m b m'
_symmetry_Int_Tables_number 127
_symmetry_space_group_name_Hall '-P 4 2ab'
loop_
_atom_site_label
_atom_site_fract_x
_atom_site_fract_y
_atom_site_fract_z
_atom_site_occupancy
Na1 0.000 0.000 0.000 1
Tl1 0.183 0.317 0.000 1
Co1 0.104 0.604 0.500 1
```

4.
Compound: TbH8Ir2Au
Source: the Alexandria database
Functional: PBE-GGA
Structure: optimized geometry

## Properties
**Total energy**: -4.468 eV per atom

Structure (CIF):
```
data_TbH8Ir2Au
_chemical_formula_sum 'Tb2 H16 Ir4 Au2'
_cell_length_a 8.833
_cell_length_b 4.202
_cell_length_c 6.052
_cell_angle_alpha 90.00
_cell_angle_beta 109.46
_cell_angle_gamma 90.00
_symmetry_space_group_name_H-M 'C 1 2/m 1'
_symmetry_Int_Tables_number 12
loop_
_symmetry_equiv_pos_as_xyz
'x,y,z'
'-x,-y,-z'
'-x,y,-z'
'x,-y,z'
'x+1/2,y+1/2,z'
'-x+1/2,-y+1/2,-z'
'-x+1/2,y+1/2,-z'
'x+1/2,-y+1/2,z'
loop_
_atom_site_label
_atom_site_fract_x
_atom_site_fract_y
_atom_site_fract_z
_atom_site_occupancy
Tb1 0.000 0.000 0.000 1
H1 0.085 0.500 0.130 1
H2 0.188 0.257 0.839 1
H3 0.216 0.000 0.378 1
Ir1 0.231 0.000 0.670 1
Au1 0.000 0.500 0.500 1
```